Below is a relaxed MgMo2Pt crystal, with properties calculated at the PBE level.

Calculated values
Total moment = 0.00 μB/cell
Energy of formation = 0.08 eV/atom
Calculated density = 10.5 g/cm³
N(E_F) = 0.697 states/eV per atom

abc: 2.7317 2.7317 8.7482
angles: 90.00 90.00 90.00
Last column: nearest neighbours and their distance in Å.
Fractional coordinates of all 4 atoms:
Mg1 0.0000 0.0000 0.0000  4 Mg 2.73, 8 Mo 3.00
Mo1 0.5000 0.5000 0.2620  4 Mo 2.73, 4 Pt 2.84, 4 Mg 3.00
Mo2 0.5000 0.5000 0.7380  4 Mo 2.73, 4 Pt 2.84, 4 Mg 3.00
Pt1 0.0000 0.0000 0.5000  4 Pt 2.73, 8 Mo 2.84